Here is an optimized crystal structure of MoAsP2 from the Alexandria database. Energies are from GGA-PBE.

The structure in POSCAR format:
```
MoAsP2
1.0
1.6132 -2.2514 0.0000
1.6132 2.2514 0.0000
0.0000 0.0000 8.9193
Mo As P
1 1 2
direct
0.0000 0.0000 0.0000
0.5000 0.5000 0.2445
0.0000 0.0000 0.5252
0.5000 0.5000 0.7914
```

## Properties
* SG: No. 35
* ΔE_f: 452 meV/atom
* total magnetic moment: 0.0 μB per formula unit


Here is an optimized crystal structure of CrAs2Pb from the Alexandria database. Energies are from GGA-PBE.

The structure in POSCAR format:
```
CrAs2Pb
1.0
4.8631 0.0000 0.0000
0.0000 4.8631 0.0000
0.0000 0.0000 3.6087
Cr As Pb
1 2 1
direct
0.0000 0.0000 0.0000
0.0000 0.5000 0.5000
0.5000 0.0000 0.5000
0.5000 0.5000 0.0000
```

## Properties
* SG: No. 123
* ΔE_f: 403 meV/atom
* total magnetic moment: 3.8 μB per formula unit


Here is an optimized crystal structure of Sc2ReTc from the Alexandria database. Energies are from GGA-PBE.

The structure in POSCAR format:
```
Sc2ReTc
1.0
1.4793 0.8541 9.5211
-1.4793 0.8541 9.5211
0.0000 -1.7081 9.5211
Sc Re Tc
2 1 1
direct
0.0927 0.0927 0.0927
0.9073 0.9073 0.9073
0.0000 0.0000 0.0000
0.5000 0.5000 0.5000
```

## Properties
* SG: No. 166
* ΔE_f: 452 meV/atom
* offset from the most stable computed form: 611 meV per atom
* total magnetic moment: 0.0 μB per formula unit


Here is an optimized crystal structure of LaCo4P2 from the Alexandria database. Energies are from GGA-PBE.

The structure in POSCAR format:
```
LaCo4P2
1.0
1.9200 1.1085 7.7362
-1.9200 1.1085 7.7362
0.0000 -2.2171 7.7362
La Co P
1 4 2
direct
0.0000 0.0000 0.0000
0.1370 0.1370 0.1370
0.4233 0.4233 0.4233
0.5767 0.5767 0.5767
0.8630 0.8630 0.8630
0.2315 0.2315 0.2315
0.7685 0.7685 0.7685
```

## Properties
* SG: No. 166
* ΔE_f: -632 meV/atom
* offset from the most stable computed form: 0 meV per atom
* total magnetic moment: 0.0 μB per formula unit


Here is an optimized crystal structure of NdYLu from the Alexandria database. Energies are from GGA-PBE.

The structure in POSCAR format:
```
NdYLu
1.0
5.6277 0.0000 0.0000
-2.8138 4.8737 0.0000
0.0000 0.0000 3.5091
Nd Y Lu
1 1 1
direct
0.0000 0.0000 0.0000
0.3333 0.6667 0.5000
0.6667 0.3333 0.0000
```

## Properties
* SG: No. 187
* ΔE_f: 74 meV/atom
* offset from the most stable computed form: 44 meV per atom
* total magnetic moment: 0.0 μB per formula unit


Here is an optimized crystal structure of Zn6GaPd3 from the Alexandria database. Energies are from GGA-PBE.

The structure in POSCAR format:
```
Zn6GaPd3
1.0
4.3937 -7.2753 0.0000
4.3937 7.2753 0.0000
0.0000 0.0000 4.7471
Zn Ga Pd
12 2 6
direct
0.0429 0.4597 0.0290
0.0457 0.9543 0.5000
0.2899 0.7101 0.7390
0.2977 0.3832 0.8538
0.3832 0.2977 0.3538
0.4597 0.0429 0.5290
0.5403 0.9571 0.0290
0.6168 0.7023 0.8538
0.7023 0.6168 0.3538
0.7101 0.2899 0.2390
0.9543 0.0457 0.0000
0.9571 0.5403 0.5290
0.2076 0.7924 0.2425
0.7924 0.2076 0.7425
0.0651 0.2762 0.4455
0.2762 0.0651 0.9455
0.3874 0.6126 0.2742
0.6126 0.3874 0.7742
0.7238 0.9349 0.4455
0.9349 0.7238 0.9455
```

## Properties
* SG: No. 36
* ΔE_f: -265 meV/atom
* total magnetic moment: 0.0 μB per formula unit


Here is an optimized crystal structure of YErTi4 from the Alexandria database. Energies are from GGA-PBE.

The structure in POSCAR format:
```
YErTi4
1.0
0.0000 4.0977 4.0977
4.0977 0.0000 4.0977
4.0977 4.0977 0.0000
Y Er Ti
1 1 4
direct
0.0000 0.0000 0.0000
0.2500 0.2500 0.2500
0.1256 0.6248 0.6248
0.6248 0.1256 0.6248
0.6248 0.6248 0.1256
0.6248 0.6248 0.6248
```

## Properties
* SG: No. 216
* ΔE_f: 231 meV/atom
* total magnetic moment: 9.5 μB per formula unit


Here is an optimized crystal structure of NaYScSe2 from the Alexandria database. Energies are from GGA-PBE.

The structure in POSCAR format:
```
NaYScSe2
1.0
5.1019 0.0000 0.0000
0.0000 5.1019 0.0000
0.0000 0.0000 4.9478
Na Y Sc Se
1 1 1 2
direct
0.0000 0.0000 0.0000
0.0000 0.0000 0.5000
0.5000 0.5000 0.5000
0.0000 0.5000 0.0000
0.5000 0.0000 0.0000
```

## Properties
* formation energy without anion corrections: 0.77 eV/f.u.
* SG: No. 123
* total magnetic moment: 0.0 μB per formula unit


Here is an optimized crystal structure of Tb4Eu2C from the Alexandria database. Energies are from GGA-PBE.

The structure in POSCAR format:
```
Tb4Eu2C
1.0
-2.5132 2.5132 9.3146
2.5132 -2.5132 9.3146
2.5132 2.5132 -9.3146
Tb Eu C
4 2 1
direct
0.0000 0.5000 0.5000
0.1262 0.1262 0.0000
0.5000 0.0000 0.5000
0.8738 0.8738 0.0000
0.3277 0.3277 0.0000
0.6723 0.6723 0.0000
0.0000 0.0000 0.0000
```

## Properties
* SG: No. 139
* ΔE_f: 114 meV/atom
* total magnetic moment: 17.7 μB per formula unit


Here is an optimized crystal structure of HfAgMoSe2 from the Alexandria database. Energies are from GGA-PBE.

The structure in POSCAR format:
```
HfAgMoSe2
1.0
5.1207 0.0000 0.0000
0.0000 5.1207 0.0000
0.0000 0.0000 5.2000
Hf Ag Mo Se
1 1 1 2
direct
0.0000 0.0000 0.0000
0.5000 0.5000 0.5000
0.0000 0.0000 0.5000
0.0000 0.5000 0.0000
0.5000 0.0000 0.0000
```

## Properties
* formation energy without anion corrections: 3.58 eV/f.u.
* SG: No. 123
* total magnetic moment: 3.5 μB per formula unit


Here is an optimized crystal structure of Mo2RhSe from the Alexandria database. Energies are from GGA-PBE.

The structure in POSCAR format:
```
Mo2RhSe
1.0
-2.8496 2.8496 5.4793
2.8496 -2.8496 5.4793
2.8496 2.8496 -5.4793
Mo Rh Se
4 2 2
direct
0.1161 0.6250 0.9911
0.3750 0.3661 0.4911
0.6339 0.1250 0.0089
0.8750 0.8839 0.5089
0.0000 0.0000 0.0000
0.7500 0.2500 0.5000
0.2500 0.7500 0.5000
0.5000 0.5000 0.0000
```

## Properties
* formation energy without anion corrections: 2.95 eV/f.u.
* SG: No. 122
* total magnetic moment: 0.0 μB per formula unit


Here is an optimized crystal structure of AlTeMo from the Alexandria database. Energies are from GGA-PBE.

The structure in POSCAR format:
```
AlTeMo
1.0
3.3072 0.0000 0.0000
-1.6536 2.8641 0.0000
0.0000 0.0000 6.2864
Al Te Mo
1 1 1
direct
0.0000 0.0000 0.0000
0.3333 0.6667 0.6015
0.6667 0.3333 0.2990
```

## Properties
* formation energy without anion corrections: 0.27 eV/f.u.
* SG: No. 156
* offset from the most stable computed form: 60 meV per atom
* total magnetic moment: 0.0 μB per formula unit


What did the eighth record say?
Here is an optimized crystal structure of NaYScSe2 from the Alexandria database. Energies are from GGA-PBE.

The structure in POSCAR format:
```
NaYScSe2
1.0
5.1019 0.0000 0.0000
0.0000 5.1019 0.0000
0.0000 0.0000 4.9478
Na Y Sc Se
1 1 1 2
direct
0.0000 0.0000 0.0000
0.0000 0.0000 0.5000
0.5000 0.5000 0.5000
0.0000 0.5000 0.0000
0.5000 0.0000 0.0000
```

## Properties
* formation energy without anion corrections: 0.77 eV/f.u.
* SG: No. 123
* total magnetic moment: 0.0 μB per formula unit